Density functional theory data (PBE) for crystalline NaTaZnRh2 at its relaxed geometry.

Lattice parameters (Å, degrees): 4.5895 4.5895 4.2740 90.00 90.00 90.00
Closest atoms and distances in Å follow each position.
Atoms (fractional coordinates):
Na  0.0000  0.0000  0.0000  2 Zn 2.14
Ta  0.5000  0.5000  0.0000  8 Rh 3.14, 4 Na 3.25
Zn  0.0000  0.0000  0.5000  2 Na 2.14, 4 Rh 2.29
Rh  0.0000  0.5000  0.5000  2 Zn 2.29
Rh  0.5000  0.0000  0.5000  2 Zn 2.29

Calculated values
size of the total moment	0.000	μB per formula unit
DFT formation energy	0.9575	eV/atom